! LiFeSiW | OQMD | PBE | relaxed; values from VASP
! Distance to the lowest polymorph of the same formula = 102 kJ/mol of formula units
! Symmetry = F-43m
! Volume = 49.9 Å³/cell
! Size of the total moment = 2.47 μB/cell
&SYSTEM
  ibrav = 0, nat = 4, ntyp = 4
/
ATOMIC_SPECIES
Fe 55.84 Fe.upf
Li 6.94 Li.upf
Si 28.09 Si.upf
W 183.84 W.upf
CELL_PARAMETERS angstrom
0.000 2.922 2.922
2.922 0.000 2.922
2.922 2.922 0.000
ATOMIC_POSITIONS crystal
Fe 0.750 0.750 0.750
Li 0.500 0.500 0.500
Si 0.000 0.000 0.000
W 0.250 0.250 0.250